Record 1
# GGA-PBE Hf2InB2Rh5, optimized geometry
data_Hf2InB2Rh5
_chemical_formula_sum 'Hf4 In2 B4 Rh10'
_symmetry_space_group_name_H-M 'P 4/m b m'
_symmetry_Int_Tables_number 127
_symmetry_space_group_name_Hall '-P 4 2ab'
_cell_length_a 9.333
_cell_length_b 9.333
_cell_length_c 3.261
_cell_angle_alpha 90.00
_cell_angle_beta 90.00
_cell_angle_gamma 90.00
loop_
_atom_site_label
_atom_site_type_symbol
_atom_site_fract_x
_atom_site_fract_y
_atom_site_fract_z
Hf1 Hf 0.175 0.325 0.000
In1 In 0.000 0.000 0.000
B1 B 0.122 0.622 0.000
Rh1 Rh 0.000 0.500 0.500
Rh2 Rh 0.072 0.777 0.500
# E_tot ... -8.036 eV per atom



Record 2
# GGA-PBE Hf2InB2Ru5, optimized geometry
data_Hf2InB2Ru5
_chemical_formula_sum 'Hf4 In2 B4 Ru10'
_symmetry_space_group_name_H-M 'P 4/m b m'
_symmetry_Int_Tables_number 127
_symmetry_space_group_name_Hall '-P 4 2ab'
_cell_length_a 9.518
_cell_length_b 9.518
_cell_length_c 3.114
_cell_angle_alpha 90.00
_cell_angle_beta 90.00
_cell_angle_gamma 90.00
loop_
_atom_site_label
_atom_site_type_symbol
_atom_site_fract_x
_atom_site_fract_y
_atom_site_fract_z
Hf1 Hf 0.176 0.324 0.000
In1 In 0.000 0.000 0.000
B1 B 0.123 0.623 0.000
Ru1 Ru 0.000 0.500 0.500
Ru2 Ru 0.071 0.777 0.500
# E_tot ... -8.785 eV per atom



Record 3
# GGA-PBE HfSc2InB, optimized geometry
data_HfSc2InB
_chemical_formula_sum 'Hf1 Sc2 In1 B1'
_symmetry_space_group_name_H-M 'P 4/m m m'
_symmetry_Int_Tables_number 123
_symmetry_space_group_name_Hall '-P 4 2'
_cell_length_a 4.642
_cell_length_b 4.642
_cell_length_c 4.653
_cell_angle_alpha 90.00
_cell_angle_beta 90.00
_cell_angle_gamma 90.00
loop_
_atom_site_label
_atom_site_type_symbol
_atom_site_fract_x
_atom_site_fract_y
_atom_site_fract_z
Hf1 Hf 0.000 0.000 0.000
Sc1 Sc 0.000 0.500 0.500
In1 In 0.500 0.500 0.000
B1 B 0.000 0.000 0.500
# E_tot ... -6.824 eV per atom



Record 4
# GGA-PBE HfTaIn2B, optimized geometry
data_HfTaIn2B
_chemical_formula_sum 'Hf1 Ta1 In2 B1'
_symmetry_space_group_name_H-M 'P 4/m m m'
_symmetry_Int_Tables_number 123
_symmetry_space_group_name_Hall '-P 4 2'
_cell_length_a 5.272
_cell_length_b 5.272
_cell_length_c 4.251
_cell_angle_alpha 90.00
_cell_angle_beta 90.00
_cell_angle_gamma 90.00
loop_
_atom_site_label
_atom_site_type_symbol
_atom_site_fract_x
_atom_site_fract_y
_atom_site_fract_z
Hf1 Hf 0.000 0.000 0.000
Ta1 Ta 0.500 0.500 0.500
In1 In 0.000 0.500 0.500
B1 B 0.500 0.500 0.000
# E_tot ... -5.638 eV per atom



Record 5
# GGA-PBE HfTi2InB, optimized geometry
data_HfTi2InB
_chemical_formula_sum 'Hf1 Ti2 In1 B1'
_symmetry_space_group_name_H-M 'P 4/m m m'
_symmetry_Int_Tables_number 123
_symmetry_space_group_name_Hall '-P 4 2'
_cell_length_a 4.371
_cell_length_b 4.371
_cell_length_c 4.555
_cell_angle_alpha 90.00
_cell_angle_beta 90.00
_cell_angle_gamma 90.00
loop_
_atom_site_label
_atom_site_type_symbol
_atom_site_fract_x
_atom_site_fract_y
_atom_site_fract_z
Hf1 Hf 0.000 0.000 0.000
Ti1 Ti 0.000 0.500 0.500
In1 In 0.500 0.500 0.000
B1 B 0.000 0.000 0.500
# E_tot ... -7.407 eV per atom



Record 6
# GGA-PBE Hf2VInB, optimized geometry
data_Hf2VInB
_chemical_formula_sum 'Hf2 V1 In1 B1'
_symmetry_space_group_name_H-M 'P 4/m m m'
_symmetry_Int_Tables_number 123
_symmetry_space_group_name_Hall '-P 4 2'
_cell_length_a 4.611
_cell_length_b 4.611
_cell_length_c 4.180
_cell_angle_alpha 90.00
_cell_angle_beta 90.00
_cell_angle_gamma 90.00
loop_
_atom_site_label
_atom_site_type_symbol
_atom_site_fract_x
_atom_site_fract_y
_atom_site_fract_z
Hf1 Hf 0.000 0.500 0.000
V1 V 0.000 0.000 0.500
In1 In 0.500 0.500 0.500
B1 B 0.000 0.000 0.000
# E_tot ... -7.946 eV per atom



no.,Fermi-level density of states (states/eV/f.u.),formation energy from the elements (eV/atom)
1,3.36,-0.761
2,7.69,-0.547
3,1.98,-0.418
4,3.92,1.154
5,3.16,-0.375
6,2.81,-0.258